a | Computed, not measured: crystalline RbAl3Ni at its relaxed geometry at the GGA-PBEsol level of DFT. Values from VASP.

Quantum ESPRESSO input file:
```
&SYSTEM
  ibrav = 0, nat = 5, ntyp = 3
/
ATOMIC_SPECIES
Rb 85.47 Rb.upf
Al 26.98 Al.upf
Ni 58.69 Ni.upf
CELL_PARAMETERS angstrom
5.535 0.000 0.000
0.000 5.535 0.000
0.000 0.000 5.535
ATOMIC_POSITIONS angstrom
Rb 0.000 0.000 0.000
Al 0.000 0.000 2.768
Al 0.000 2.768 0.000
Al 2.768 0.000 0.000
Ni 2.768 2.768 2.768
```

Properties
crystal system: cubic
total moment: 0.50 μB/cell
density of states at the Fermi level: 11.55 states/eV/cell

=====

b | Computed, not measured: crystalline RbAl3Ni at its relaxed geometry at the GGA-PBEsol level of DFT. Values from VASP.

Quantum ESPRESSO input file:
```
&SYSTEM
  ibrav = 0, nat = 5, ntyp = 3
/
ATOMIC_SPECIES
Rb 85.47 Rb.upf
Al 26.98 Al.upf
Ni 58.69 Ni.upf
CELL_PARAMETERS angstrom
4.676 0.000 0.000
0.000 4.676 0.000
0.000 0.000 4.676
ATOMIC_POSITIONS angstrom
Rb 0.000 0.000 0.000
Al 0.000 2.338 2.338
Al 2.338 0.000 2.338
Al 2.338 2.338 0.000
Ni 2.338 2.338 2.338
```

Properties
crystal system: cubic
total moment: 0.00 μB/cell
density of states at the Fermi level: 2.89 states/eV/cell

=====

The calculated energies rank the structures as follows, beginning with the most stable: b, a.

=====

a | Computed, not measured: crystalline Al3NiRh at its relaxed geometry at the GGA-PBEsol level of DFT. Values from VASP.

Quantum ESPRESSO input file:
```
&SYSTEM
  ibrav = 0, nat = 5, ntyp = 3
/
ATOMIC_SPECIES
Al 26.98 Al.upf
Ni 58.69 Ni.upf
Rh 102.91 Rh.upf
CELL_PARAMETERS angstrom
4.304 0.000 0.000
0.000 4.304 0.000
0.000 0.000 4.304
ATOMIC_POSITIONS angstrom
Al 0.000 0.000 2.152
Al 0.000 2.152 0.000
Al 2.152 0.000 0.000
Ni 0.000 0.000 0.000
Rh 2.152 2.152 2.152
```

Properties
crystal system: cubic
total moment: 0.00 μB/cell
density of states at the Fermi level: 4.47 states/eV/cell

=====

b | Computed, not measured: crystalline Al3NiRh at its relaxed geometry at the GGA-PBEsol level of DFT. Values from VASP.

Quantum ESPRESSO input file:
```
&SYSTEM
  ibrav = 0, nat = 5, ntyp = 3
/
ATOMIC_SPECIES
Al 26.98 Al.upf
Ni 58.69 Ni.upf
Rh 102.91 Rh.upf
CELL_PARAMETERS angstrom
4.554 0.000 0.000
0.000 4.554 0.000
0.000 0.000 4.554
ATOMIC_POSITIONS angstrom
Al 0.000 0.000 2.277
Al 0.000 2.277 0.000
Al 2.277 0.000 0.000
Ni 2.277 2.277 2.277
Rh 0.000 0.000 0.000
```

Properties
crystal system: cubic
total moment: 0.01 μB/cell
density of states at the Fermi level: 3.78 states/eV/cell

=====

The calculated energies rank the structures as follows, beginning with the most stable: a, b.

=====

a | Computed, not measured: crystalline Al2SiNi5 at its relaxed geometry at the GGA-PBEsol level of DFT. Values from VASP.

Quantum ESPRESSO input file:
```
&SYSTEM
  ibrav = 0, nat = 16, ntyp = 3
/
ATOMIC_SPECIES
Al 26.98 Al.upf
Si 28.09 Si.upf
Ni 58.69 Ni.upf
CELL_PARAMETERS angstrom
4.895 0.000 0.000
0.000 9.611 0.000
0.000 0.000 3.754
ATOMIC_POSITIONS angstrom
Al 0.812 1.377 0.000
Al 1.635 6.182 0.000
Al 3.259 3.429 0.000
Al 4.082 8.235 0.000
Si 0.000 4.806 1.877
Si 2.447 0.000 1.877
Ni 0.000 0.000 1.877
Ni 0.399 7.109 1.877
Ni 0.875 3.807 0.000
Ni 1.572 8.613 0.000
Ni 2.048 2.303 1.877
Ni 2.447 4.806 1.877
Ni 2.846 7.309 1.877
Ni 3.322 0.998 0.000
Ni 4.020 5.804 0.000
Ni 4.496 2.503 1.877
```

Properties
crystal system: orthorhombic
total moment: 0.00 μB/cell
density of states at the Fermi level: 10.25 states/eV/cell

=====

b | Computed, not measured: crystalline Al2SiNi5 at its relaxed geometry at the GGA-PBEsol level of DFT. Values from VASP.

Quantum ESPRESSO input file:
```
&SYSTEM
  ibrav = 0, nat = 8, ntyp = 3
/
ATOMIC_SPECIES
Al 26.98 Al.upf
Si 28.09 Si.upf
Ni 58.69 Ni.upf
CELL_PARAMETERS angstrom
-1.856 1.856 6.423
1.856 -1.856 6.423
1.856 1.856 -6.423
ATOMIC_POSITIONS angstrom
Al 0.000 0.000 3.160
Al 0.000 0.000 9.687
Si 0.000 0.000 6.423
Ni 0.000 0.000 0.000
Ni 1.856 0.000 1.564
Ni 1.856 0.000 4.859
Ni 0.000 1.856 1.564
Ni 0.000 1.856 4.859
```

Properties
crystal system: tetragonal
total moment: 0.00 μB/cell
density of states at the Fermi level: 4.45 states/eV/cell

=====

The calculated energies rank the structures as follows, beginning with the most stable: a, b.